1.
Crystalline LaMgInPb at its relaxed geometry, computed with PBE.

Geometry as POSCAR:
```
LaMgInPb
1.0
4.650 0.000 0.000
0.000 4.838 0.000
0.000 0.000 4.976
Mg Pb In La
1 1 1 1
direct
0.000 0.000 0.000 Mg
0.500 0.000 0.500 Pb
0.500 0.500 0.000 In
0.000 0.500 0.500 La
```

Summary:
Energy of formation from the pure elements (eV per atom): -0.43
Symmetry: No. 47
Excess energy over the best structure of this formula in the dataset (eV/f.u.): 0.00
Total magnetic moment (μB/atom): 0.000



2.
Crystalline LaMgIn2Pd4 at its relaxed geometry, computed with PBE.

Geometry as POSCAR:
```
LaMgIn2Pd4
1.0
4.609 0.000 0.000
2.305 3.992 0.000
2.305 1.331 8.629
Pd In Mg La
4 2 1 1
direct
0.870 0.870 0.390 Pd
0.398 0.398 0.807 Pd
0.130 0.130 0.610 Pd
0.602 0.602 0.193 Pd
0.240 0.240 0.280 In
0.760 0.760 0.720 In
0.500 0.500 0.500 Mg
0.000 0.000 0.000 La
```

Summary:
Energy of formation from the pure elements (eV per atom): -0.68
Symmetry: No. 166
Total magnetic moment (μB/atom): 0.000



3.
Crystalline La2Mg2InPd5 at its relaxed geometry, computed with PBE.

Geometry as POSCAR:
```
La2Mg2InPd5
1.0
-1.964 -2.613 1.550
-1.194 -4.687 -9.416
8.809 -5.625 1.683
Mg In Pd La
4 2 10 4
direct
0.000 0.123 0.623 Mg
0.000 0.877 0.377 Mg
0.000 0.377 0.123 Mg
0.000 0.623 0.877 Mg
0.000 0.500 0.500 In
0.000 0.000 0.000 In
0.500 0.201 0.054 Pd
0.500 0.946 0.201 Pd
0.500 0.799 0.946 Pd
0.500 0.554 0.701 Pd
0.500 0.701 0.446 Pd
0.500 0.054 0.799 Pd
0.500 0.000 0.500 Pd
0.500 0.299 0.554 Pd
0.500 0.446 0.299 Pd
0.500 0.500 0.000 Pd
0.000 0.323 0.823 La
0.000 0.823 0.677 La
0.000 0.177 0.323 La
0.000 0.677 0.177 La
```

Summary:
Energy of formation from the pure elements (eV per atom): -0.59
Symmetry: No. 127
Total magnetic moment (μB/atom): 0.000